# 1
{"formula": "TaGaRh3", "functional": "PBE-GGA", "state": "optimized geometry", "cell": [[4.4421, 0.0000, 0.0000], [0.0000, 4.4421, 0.0000], [0.0000, 0.0000, 4.4421]], "species": ["Ta", "Ga", "Rh", "Rh", "Rh"], "frac_coords": [[0.0000, 0.0000, 0.0000], [0.5000, 0.5000, 0.5000], [0.0000, 0.5000, 0.5000], [0.5000, 0.0000, 0.5000], [0.5000, 0.5000, 0.0000]], "total_energy_ev_per_cell": -33.94, "m_tot_mub_per_fu": 0.00, "polymorph_energy_kj_per_mol_fu": 336.6, "ef_kj_per_mol_atoms": 57.8}

=====

# 2
{"formula": "Ta6GaRh12", "functional": "PBE-GGA", "state": "optimized geometry", "cell": [[6.0964, 3.5198, 2.2829], [-6.0964, 3.5198, 2.2829], [0.0000, -7.0395, 2.2829]], "species": ["Ta", "Ta", "Ta", "Ta", "Ta", "Ta", "Ga", "Rh", "Rh", "Rh", "Rh", "Rh", "Rh", "Rh", "Rh", "Rh", "Rh", "Rh", "Rh"], "frac_coords": [[0.0878, 0.5905, 0.3735], [0.3735, 0.0878, 0.5905], [0.4095, 0.6265, 0.9122], [0.5905, 0.3735, 0.0878], [0.6265, 0.9122, 0.4095], [0.9122, 0.4095, 0.6265], [0.0000, 0.0000, 0.0000], [0.1081, 0.1683, 0.7354], [0.1683, 0.7354, 0.1081], [0.2052, 0.3240, 0.4729], [0.2646, 0.8919, 0.8317], [0.3240, 0.4729, 0.2052], [0.4729, 0.2052, 0.3240], [0.5271, 0.7948, 0.6760], [0.6760, 0.5271, 0.7948], [0.7354, 0.1081, 0.1683], [0.7948, 0.6760, 0.5271], [0.8317, 0.2646, 0.8919], [0.8919, 0.8317, 0.2646]], "total_energy_ev_per_cell": -171.45, "m_tot_mub_per_fu": 0.00, "ef_kj_per_mol_atoms": -46.2}